PBE FeHS3, optimized geometry; polymorph energy (0 for the lowest one) = 0 meV per atom; space-group type = No. 221; calculated total energy = -0.2874 Ry per atom; volume = 17.03 Å³/atom
1.0
-0.124 -4.288 -0.977
1.413 0.887 -4.071
4.165 -0.429 1.352
H S Fe
1 3 1
Cartesian
2.727 -1.915 -1.848
0.706 0.443 -2.036
2.082 -0.214 0.676
-0.062 -2.144 -0.489
0.000 0.000 0.000

PBE Ba3Hg11, optimized geometry; ΔH_f (0 K) = -374 meV/atom; space-group type = No. 71; calculated total energy = -0.0752 Ry per atom; volume = 30.22 Å³/atom
1.0
5.221 0.000 1.463
1.646 8.475 4.174
0.129 -0.018 9.589
Ba Hg
3 11
Cartesian
0.000 0.000 0.000
2.800 5.940 10.102
4.195 2.517 5.124
4.723 5.875 13.289
5.298 3.611 11.237
5.158 8.312 11.735
3.220 2.671 8.605
1.051 1.222 6.299
0.887 4.228 6.881
5.945 7.235 8.927
3.776 5.785 6.620
1.837 0.144 3.491
1.698 4.845 3.989
2.273 2.582 1.937

PBE TbCoAsH2, optimized geometry; space-group type = No. 63; calculated total energy = -0.3840 Ry per atom; volume = 11.61 Å³/atom
1.0
3.759 0.000 0.000
-1.879 5.059 0.000
0.000 0.000 6.105
Tb Co As H
2 2 2 4
Cartesian
1.879 2.182 4.579
0.000 2.877 1.526
0.000 0.000 0.000
0.000 0.000 3.053
0.000 4.424 4.579
1.879 0.635 1.526
0.000 1.597 5.765
1.879 3.462 0.340
0.000 1.597 3.393
1.879 3.462 2.712

PBE CeYTm2As4, optimized geometry; ΔH_f (0 K) = -1497 meV/atom; space-group type = No. 10; calculated total energy = -0.4769 Ry per atom; volume = 24.65 Å³/atom
1.0
-3.475 -1.891 1.149
2.069 -5.888 -3.431
3.725 -4.148 4.441
Ce Y Tm As
1 1 2 4
Cartesian
-0.703 -3.889 -1.141
2.897 -5.018 0.505
3.725 -4.148 4.441
0.125 -3.019 2.795
4.345 -7.550 0.718
-2.026 -4.376 1.441
0.753 -6.423 -0.909
1.567 -5.503 3.068

It is found that the total moment values, taken in the order of the records, are 1.44, 0.00, 0.42, 0.57 Bohr magnetons per cell.